[1]
A PBEsol-optimized structure of LiPSeS2, computed with SCAN.

Unit cell a=4.822 b=4.822 c=4.736 alpha=90.00 beta=90.00 gamma=90.00
Space group P4/mmm (No. 123)
Symmetry-distinct sites (fractional):
Li: 0.000 0.000 0.000 [1 per cell]
P: 0.500 0.500 0.000 [1 per cell]
Se: 0.500 0.500 0.500 [1 per cell]
S: 0.000 0.500 0.500 [2 per cell]

## Properties
The raw formation energy comes out at 2.36 eV/f.u. The total energy comes out at -9.95 eV per atom.

---

[2]
A PBEsol-optimized structure of LiSnPS2, computed with SCAN.

Unit cell a=4.618 b=4.618 c=4.228 alpha=90.00 beta=90.00 gamma=90.00
Space group P4/mmm (No. 123)
Symmetry-distinct sites (fractional):
Li: 0.000 0.000 0.000 [1 per cell]
Sn: 0.500 0.500 0.500 [1 per cell]
P: 0.000 0.000 0.500 [1 per cell]
S: 0.000 0.500 0.000 [2 per cell]

## Properties
The raw formation energy comes out at 2.09 eV/f.u. The total energy comes out at -13.18 eV per atom.

---

[3]
A PBEsol-optimized structure of Li10SnP2S12, computed with SCAN.

Unit cell a=8.544 b=8.826 c=12.832 alpha=87.84 beta=88.51 gamma=89.92
Space group P1 (No. 1)
Symmetry-distinct sites (fractional):
Li: 0.000 0.000 0.000 [1 per cell]
Li: 0.000 0.478 0.693 [1 per cell]
Li: 0.213 0.695 0.105 [1 per cell]
Li: 0.231 0.262 0.430 [1 per cell]
Li: 0.235 0.234 0.942 [1 per cell]
Li: 0.235 0.764 0.592 [1 per cell]
Li: 0.240 0.236 0.190 [1 per cell]
Li: 0.252 0.761 0.313 [1 per cell]
Li: 0.256 0.730 0.868 [1 per cell]
Li: 0.262 0.179 0.690 [1 per cell]
Li: 0.485 0.472 0.892 [1 per cell]
Li: 0.502 0.472 0.378 [1 per cell]
Li: 0.691 0.767 0.554 [1 per cell]
Li: 0.712 0.257 0.630 [1 per cell]
Li: 0.730 0.225 0.957 [1 per cell]
Li: 0.730 0.726 0.790 [1 per cell]
Li: 0.730 0.793 0.025 [1 per cell]
Li: 0.733 0.765 0.282 [1 per cell]
Li: 0.738 0.235 0.246 [1 per cell]
Li: 0.966 0.021 0.488 [1 per cell]
Sn: 0.493 0.497 0.130 [1 per cell]
Sn: 0.968 0.993 0.757 [1 per cell]
P: 0.474 0.500 0.627 [1 per cell]
P: 0.485 0.017 0.444 [1 per cell]
P: 0.984 0.476 0.936 [1 per cell]
P: 0.994 0.979 0.253 [1 per cell]
S: 0.000 0.187 0.320 [1 per cell]
S: 0.180 0.463 0.839 [1 per cell]
S: 0.191 0.956 0.160 [1 per cell]
S: 0.207 0.001 0.850 [1 per cell]
S: 0.266 0.509 0.245 [1 per cell]
S: 0.274 0.494 0.542 [1 per cell]
S: 0.280 0.029 0.532 [1 per cell]
S: 0.467 0.703 0.002 [1 per cell]
S: 0.471 0.191 0.333 [1 per cell]
S: 0.473 0.266 0.039 [1 per cell]
S: 0.473 0.704 0.701 [1 per cell]
S: 0.487 0.321 0.733 [1 per cell]
S: 0.500 0.807 0.384 [1 per cell]
S: 0.670 0.491 0.532 [1 per cell]
S: 0.676 0.039 0.533 [1 per cell]
S: 0.715 0.509 0.234 [1 per cell]
S: 0.747 0.981 0.875 [1 per cell]
S: 0.791 0.457 0.845 [1 per cell]
S: 0.797 0.983 0.164 [1 per cell]
S: 0.953 0.770 0.654 [1 per cell]
S: 0.982 0.808 0.364 [1 per cell]
S: 0.985 0.206 0.636 [1 per cell]
S: 0.985 0.294 0.040 [1 per cell]
S: 0.988 0.679 0.005 [1 per cell]

## Properties
The raw formation energy comes out at -27.39 eV/f.u. The total energy comes out at -8.94 eV per atom. As for the energy above the most stable polymorph in this dataset: 0.0000 eV per atom.

---

[4]
A PBEsol-optimized structure of Li10SnP2S12, computed with SCAN.

Unit cell a=8.720 b=8.720 c=12.588 alpha=90.00 beta=90.00 gamma=90.00
Space group P4_2mc (No. 105)
Symmetry-distinct sites (fractional):
Li: 0.000 0.000 0.000 [2 per cell]
Li: 0.211 0.275 0.337 [8 per cell]
Li: 0.255 0.277 0.086 [8 per cell]
Li: 0.500 0.500 0.097 [2 per cell]
Sn: 0.500 0.500 0.350 [2 per cell]
P: 0.000 0.000 0.248 [2 per cell]
P: 0.000 0.500 0.560 [2 per cell]
S: 0.000 0.193 0.839 [4 per cell]
S: 0.000 0.197 0.157 [4 per cell]
S: 0.000 0.304 0.468 [4 per cell]
S: 0.192 0.500 0.652 [4 per cell]
S: 0.276 0.500 0.959 [4 per cell]
S: 0.278 0.500 0.239 [4 per cell]

## Properties
The raw formation energy comes out at -27.03 eV/f.u. The total energy comes out at -8.93 eV per atom. As for the energy above the most stable polymorph in this dataset: 0.0143 eV per atom.

---

[5]
A PBEsol-optimized structure of SrLiPS2, computed with SCAN.

Unit cell a=5.529 b=5.529 c=5.634 alpha=90.00 beta=90.00 gamma=90.00
Space group P4/mmm (No. 123)
Symmetry-distinct sites (fractional):
Sr: 0.000 0.000 0.000 [1 per cell]
Li: 0.500 0.500 0.500 [1 per cell]
P: 0.000 0.000 0.500 [1 per cell]
S: 0.000 0.500 0.000 [2 per cell]

## Properties
The raw formation energy comes out at 0.66 eV/f.u. The total energy comes out at -10.73 eV per atom. As for the energy above the most stable polymorph in this dataset: 0.6821 eV per atom.

---

[6]
A PBEsol-optimized structure of SrLiPS2, computed with SCAN.

Unit cell a=4.697 b=4.697 c=4.299 alpha=90.00 beta=90.00 gamma=90.00
Space group P4/mmm (No. 123)
Symmetry-distinct sites (fractional):
Sr: 0.000 0.000 0.000 [1 per cell]
Li: 0.500 0.500 0.500 [1 per cell]
P: 0.500 0.500 0.000 [1 per cell]
S: 0.000 0.500 0.500 [2 per cell]

## Properties
The raw formation energy comes out at -2.75 eV/f.u. The total energy comes out at -11.41 eV per atom. As for the energy above the most stable polymorph in this dataset: 0.0000 eV per atom.

---

[7]
A PBEsol-optimized structure of LiTePS2, computed with SCAN.

Unit cell a=4.385 b=4.385 c=4.504 alpha=90.00 beta=90.00 gamma=90.00
Space group P4/mmm (No. 123)
Symmetry-distinct sites (fractional):
Li: 0.000 0.000 0.000 [1 per cell]
Te: 0.500 0.500 0.500 [1 per cell]
P: 0.000 0.000 0.500 [1 per cell]
S: 0.000 0.500 0.000 [2 per cell]

## Properties
The raw formation energy comes out at 2.98 eV/f.u. The total energy comes out at -13.26 eV per atom.

---

[8]
A PBEsol-optimized structure of LiZnP2S, computed with SCAN.

Unit cell a=4.294 b=4.294 c=4.381 alpha=90.00 beta=90.00 gamma=90.00
Space group P4/mmm (No. 123)
Symmetry-distinct sites (fractional):
Li: 0.000 0.000 0.000 [1 per cell]
Zn: 0.500 0.500 0.500 [1 per cell]
P: 0.000 0.500 0.000 [2 per cell]
S: 0.000 0.000 0.500 [1 per cell]

## Properties
The raw formation energy comes out at 4.01 eV/f.u. The total energy comes out at -8.46 eV per atom.

---

[9]
A PBEsol-optimized structure of Li2SbP, computed with SCAN.

Unit cell a=2.963 b=2.963 c=8.012 alpha=90.00 beta=90.00 gamma=90.00
Space group P4/mmm (No. 123)
Symmetry-distinct sites (fractional):
Li: 0.000 0.000 0.201 [2 per cell]
Sb: 0.500 0.500 0.500 [1 per cell]
P: 0.500 0.500 0.000 [1 per cell]

## Properties
The raw formation energy comes out at -1.49 eV/f.u. The total energy comes out at -13.48 eV per atom. As for the energy above the most stable polymorph in this dataset: 0.0000 eV per atom.

---

[10]
A PBEsol-optimized structure of Li2SbP, computed with SCAN.

Unit cell a=3.048 b=3.932 c=5.684 alpha=90.00 beta=90.34 gamma=90.00
Space group P2/m (No. 10)
Symmetry-distinct sites (fractional):
Li: 0.003 0.000 0.283 [2 per cell]
Sb: 0.500 0.500 0.000 [1 per cell]
P: 0.500 0.500 0.500 [1 per cell]

## Properties
The raw formation energy comes out at -1.48 eV/f.u. The total energy comes out at -13.48 eV per atom. As for the energy above the most stable polymorph in this dataset: 0.0043 eV per atom.

---

[11]
A PBEsol-optimized structure of LiSbP, computed with SCAN.

Unit cell a=3.274 b=3.274 c=10.647 alpha=90.00 beta=90.00 gamma=90.00
Space group I4mm (No. 107)
Symmetry-distinct sites (fractional):
Li: 0.000 0.000 0.000 [2 per cell]
Sb: 0.000 0.000 0.326 [2 per cell]
P: 0.000 0.000 0.573 [2 per cell]

## Properties
The raw formation energy comes out at 0.03 eV/f.u. The total energy comes out at -16.67 eV per atom.

---

[12]
A PBEsol-optimized structure of LiSbP2, computed with SCAN.

Unit cell a=3.306 b=4.291 c=10.246 alpha=90.00 beta=90.00 gamma=90.00
Space group Imm2 (No. 44)
Symmetry-distinct sites (fractional):
Li: 0.000 0.000 0.000 [2 per cell]
Sb: 0.000 0.500 0.216 [2 per cell]
P: 0.000 0.000 0.493 [2 per cell]
P: 0.000 0.500 0.832 [2 per cell]

## Properties
The raw formation energy comes out at 0.11 eV/f.u. The total energy comes out at -15.08 eV per atom.

---

[13]
A PBEsol-optimized structure of Li4SbP, computed with SCAN.

Unit cell a=7.246 b=7.246 c=7.246 alpha=90.00 beta=90.00 gamma=90.00
Space group F-43m (No. 216)
Symmetry-distinct sites (fractional):
Li: 0.125 0.125 0.125 [16 per cell]
Sb: 0.000 0.000 0.500 [4 per cell]
P: 0.250 0.250 0.750 [4 per cell]

## Properties
The raw formation energy comes out at -0.34 eV/f.u. The total energy comes out at -9.59 eV per atom.

---

[14]
A PBEsol-optimized structure of Li2SbP, computed with SCAN.

Unit cell a=3.050 b=3.050 c=7.686 alpha=90.00 beta=90.00 gamma=90.00
Space group P4mm (No. 99)
Symmetry-distinct sites (fractional):
Li: 0.000 0.000 0.000 [1 per cell]
Li: 0.500 0.500 0.211 [1 per cell]
Sb: 0.500 0.500 0.748 [1 per cell]
P: 0.000 0.000 0.360 [1 per cell]

## Properties
The raw formation energy comes out at -0.26 eV/f.u. The total energy comes out at -13.18 eV per atom. As for the energy above the most stable polymorph in this dataset: 0.3077 eV per atom.

---

[15]
A PBEsol-optimized structure of Li2ScP, computed with SCAN.

Unit cell a=3.595 b=3.595 c=5.249 alpha=90.00 beta=90.00 gamma=90.00
Space group P4/mmm (No. 123)
Symmetry-distinct sites (fractional):
Li: 0.000 0.000 0.204 [2 per cell]
Sc: 0.500 0.500 0.500 [1 per cell]
P: 0.500 0.500 0.000 [1 per cell]

## Properties
The total energy comes out at -7.69 eV per atom. The formation energy is -0.34 eV per atom.

---

[16]
A PBEsol-optimized structure of Li2ScP, computed with SCAN.

Unit cell a=3.721 b=3.721 c=9.835 alpha=90.00 beta=90.00 gamma=90.00
Space group I4/mmm (No. 139)
Symmetry-distinct sites (fractional):
Li: 0.000 0.500 0.250 [4 per cell]
Sc: 0.000 0.000 0.000 [2 per cell]
P: 0.000 0.000 0.500 [2 per cell]

## Properties
The total energy comes out at -7.90 eV per atom. The formation energy is -0.54 eV per atom.

---

[17]
A PBEsol-optimized structure of LiSc2P2, computed with SCAN.

Unit cell a=7.255 b=7.255 c=3.311 alpha=90.00 beta=90.00 gamma=90.00
Space group P4/mbm (No. 127)
Symmetry-distinct sites (fractional):
Li: 0.000 0.000 0.000 [2 per cell]
Sc: 0.141 0.359 0.000 [4 per cell]
P: 0.164 0.664 0.500 [4 per cell]

## Properties
The total energy comes out at -11.24 eV per atom. The formation energy is -0.91 eV per atom.

---

[18]
A PBEsol-optimized structure of LiSc4P, computed with SCAN.

Unit cell a=8.044 b=8.044 c=8.044 alpha=90.00 beta=90.00 gamma=90.00
Space group F-43m (No. 216)
Symmetry-distinct sites (fractional):
Li: 0.000 0.000 0.000 [4 per cell]
Sc: 0.124 0.124 0.624 [16 per cell]
P: 0.250 0.250 0.250 [4 per cell]

## Properties
The total energy comes out at -11.19 eV per atom. The formation energy is 0.44 eV per atom.

---

[19]
A PBEsol-optimized structure of Li2ScP, computed with SCAN.

Unit cell a=2.968 b=2.968 c=7.568 alpha=90.00 beta=90.00 gamma=90.00
Space group P4/mmm (No. 123)
Symmetry-distinct sites (fractional):
Li: 0.000 0.000 0.184 [2 per cell]
Sc: 0.500 0.500 0.500 [1 per cell]
P: 0.500 0.500 0.000 [1 per cell]

## Properties
The total energy comes out at -7.45 eV per atom. The formation energy is -0.10 eV per atom.

---

[20]
A PBEsol-optimized structure of Li2ScSiP, computed with SCAN.

Unit cell a=4.293 b=4.293 c=4.779 alpha=90.00 beta=90.00 gamma=90.00
Space group P4/mmm (No. 123)
Symmetry-distinct sites (fractional):
Li: 0.000 0.500 0.000 [2 per cell]
Sc: 0.000 0.000 0.500 [1 per cell]
Si: 0.500 0.500 0.500 [1 per cell]
P: 0.500 0.500 0.000 [1 per cell]

## Properties
The raw formation energy comes out at 0.04 eV/f.u. The total energy comes out at -7.88 eV per atom.

---

[21]
A PBEsol-optimized structure of Li3PSe, computed with SCAN.

Unit cell a=4.561 b=4.561 c=4.561 alpha=90.00 beta=90.00 gamma=90.00
Space group Pm-3m (No. 221)
Symmetry-distinct sites (fractional):
Li: 0.000 0.000 0.500 [3 per cell]
P: 0.000 0.000 0.000 [1 per cell]
Se: 0.500 0.500 0.500 [1 per cell]

## Properties
The raw formation energy comes out at -1.77 eV/f.u. The total energy comes out at -7.88 eV per atom.

---

[22]
A PBEsol-optimized structure of Li2PSe, computed with SCAN.

Unit cell a=3.985 b=3.985 c=7.664 alpha=90.00 beta=90.00 gamma=90.00
Space group I4/mmm (No. 139)
Symmetry-distinct sites (fractional):
Li: 0.000 0.500 0.250 [4 per cell]
P: 0.000 0.000 0.000 [2 per cell]
Se: 0.000 0.000 0.500 [2 per cell]

## Properties
The raw formation energy comes out at -2.17 eV/f.u. The total energy comes out at -9.36 eV per atom. As for the energy above the most stable polymorph in this dataset: 0.0000 eV per atom.

---

[23]
A PBEsol-optimized structure of LiP2Se, computed with SCAN.

Unit cell a=2.999 b=2.999 c=7.566 alpha=90.00 beta=90.00 gamma=90.00
Space group P4mm (No. 99)
Symmetry-distinct sites (fractional):
Li: 0.000 0.000 0.000 [1 per cell]
P: 0.000 0.000 0.399 [1 per cell]
P: 0.500 0.500 0.271 [1 per cell]
Se: 0.500 0.500 0.772 [1 per cell]

## Properties
The raw formation energy comes out at -0.28 eV/f.u. The total energy comes out at -10.89 eV per atom.

---

[24]
A PBEsol-optimized structure of Li2PSe, computed with SCAN.

Unit cell a=2.710 b=2.710 c=9.518 alpha=90.00 beta=90.00 gamma=90.00
Space group P4mm (No. 99)
Symmetry-distinct sites (fractional):
Li: 0.000 0.000 0.000 [1 per cell]
Li: 0.500 0.500 0.287 [1 per cell]
P: 0.000 0.000 0.466 [1 per cell]
Se: 0.500 0.500 0.814 [1 per cell]

## Properties
The raw formation energy comes out at -0.71 eV/f.u. The total energy comes out at -8.99 eV per atom. As for the energy above the most stable polymorph in this dataset: 0.3652 eV per atom.